## ScGaCu2 (PBE)

Data for a relaxed structure of ScGaCu2.

Cell: 4.086 4.086 3.707 Å, 90.00 90.00 90.00°
Fractional coordinates of all 4 atoms:
Sc  0.000  0.000  0.000
Ga  0.500  0.500  0.000
Cu  0.000  0.500  0.500
Cu  0.500  0.000  0.500

- final energy (eV per cell) = -17.74
- size of the total moment (Bohr magnetons per cell) = 0.01
- crystal system = tetragonal
- density (Mg/m³) = 6.49

---

## Nd2ScAl3 (PBE)

Data for a relaxed structure of Nd2ScAl3.

Cell: 5.921 5.921 9.292 Å, 90.00 90.00 120.00°
Fractional coordinates of all 12 atoms:
Nd  0.333  0.667  0.063
Nd  0.333  0.667  0.437
Nd  0.667  0.333  0.563
Nd  0.667  0.333  0.937
Sc  0.000  0.000  0.000
Sc  0.000  0.000  0.500
Al  0.174  0.347  0.750
Al  0.174  0.826  0.750
Al  0.347  0.174  0.250
Al  0.653  0.826  0.750
Al  0.826  0.174  0.250
Al  0.826  0.653  0.250

- final energy (eV per cell) = -59.30
- size of the total moment (Bohr magnetons per cell) = 0.01
- crystal system = hexagonal
- density (Mg/m³) = 4.88

---

## HoAgHg (PBE)

Data for a relaxed structure of HoAgHg.

Cell: 6.760 6.760 6.760 Å, 90.00 90.00 90.00°
Fractional coordinates of all 12 atoms:
Ho  0.000  0.000  0.000
Ho  0.000  0.500  0.500
Ho  0.500  0.000  0.500
Ho  0.500  0.500  0.000
Ag  0.250  0.250  0.750
Ag  0.250  0.750  0.250
Ag  0.750  0.250  0.250
Ag  0.750  0.750  0.750
Hg  0.000  0.000  0.500
Hg  0.000  0.500  0.000
Hg  0.500  0.000  0.000
Hg  0.500  0.500  0.500

- final energy (eV per cell) = -32.92
- size of the total moment (Bohr magnetons per cell) = 1.07
- E_form (kJ per mole of atoms) = -17.1
- crystal system = cubic
- density (Mg/m³) = 10.18

---

## DyUZn (PBE)

Data for a relaxed structure of DyUZn.

Cell: 6.760 6.760 6.760 Å, 90.00 90.00 90.00°
Fractional coordinates of all 12 atoms:
Dy  0.000  0.000  0.000
Dy  0.000  0.500  0.500
Dy  0.500  0.000  0.500
Dy  0.500  0.500  0.000
U  0.000  0.000  0.500
U  0.000  0.500  0.000
U  0.500  0.000  0.000
U  0.500  0.500  0.500
Zn  0.250  0.250  0.250
Zn  0.250  0.750  0.750
Zn  0.750  0.250  0.750
Zn  0.750  0.750  0.250

- final energy (eV per cell) = -60.88
- energy above the lowest structure with this stoichiometry (eV per atom) = 0.0000
- size of the total moment (Bohr magnetons per cell) = 12.42
- E_form (kJ per mole of atoms) = 62.5
- crystal system = cubic
- density (Mg/m³) = 10.02